Version P
This record from the Alexandria database describes a relaxed structure of LaCoOs2. The functional is PBE.

a = 2.963 Å, b = 2.963 Å, c = 7.747 Å
α = 90.00°, β = 90.00°, γ = 90.00°
Fractional coordinates of all 4 atoms:
La 0.000 0.000 0.000
Co 0.500 0.500 0.712
Os 0.000 0.000 0.522
Os 0.500 0.500 0.316

## Properties
The space-group type is P4mm, No. 99.

Version Q
This record from the Alexandria database describes a relaxed structure of LaCoOs2. The functional is PBE.

a = 5.146 Å, b = 5.146 Å, c = 5.146 Å
α = 134.42°, β = 134.42°, γ = 66.43°
Fractional coordinates of all 4 atoms:
La 0.000 0.000 0.000
Co 0.500 0.500 0.000
Os 0.250 0.750 0.500
Os 0.750 0.250 0.500

## Properties
The space-group type is I4/mmm, No. 139.

Version R
This record from the Alexandria database describes a relaxed structure of LaCoOs2. The functional is PBE.

a = 2.897 Å, b = 4.364 Å, c = 5.733 Å
α = 90.00°, β = 101.73°, γ = 90.00°
Fractional coordinates of all 4 atoms:
La 0.000 0.000 0.000
Co 0.500 0.000 0.500
Os 0.317 0.500 0.691
Os 0.683 0.500 0.309

## Properties
The space-group type is P2/m, No. 10.

Version S
This record from the Alexandria database describes a relaxed structure of LaCoOs2. The functional is PBE.

a = 9.782 Å, b = 9.782 Å, c = 9.782 Å
α = 16.54°, β = 16.54°, γ = 16.54°
Fractional coordinates of all 4 atoms:
La 0.000 0.000 0.000
Co 0.500 0.500 0.500
Os 0.236 0.236 0.236
Os 0.764 0.764 0.764

## Properties
The space-group type is R-3m, No. 166.

Energy ordering: version P at the bottom, the next structure 213 meV per atom above.